Compound: TaRu2Au
Source: Alexandria
Functional: PBE-GGA
Structure: optimized geometry

## Properties
Polymorph energy (0 for the lowest one), kJ per mole of atoms: 17.0
DOS(E_F), states/eV per cell: 3.21
Calculated total energy, eV/atom: -8.4016
ΔH_f (0 K), meV per atom: 19
Space-group type: C2/m, No. 12

a b c (Å): 4.780 4.780 4.896
angles (deg): 77.40 77.40 36.18
Sites, in units of the cell vectors:
Au1 0.250 0.250 0.250
Ru1 0.013 0.013 0.980
Ru2 0.487 0.487 0.520
Ta1 0.750 0.750 0.750

Compound: Sr2MgTa
Source: Alexandria
Functional: PBE-GGA
Structure: optimized geometry

## Properties
DOS(E_F), states/eV per cell: 4.60
Calculated total energy, eV/atom: -3.3867
ΔH_f (0 K), meV per atom: 816
Space-group type: P4/mmm, No. 123

a b c (Å): 6.058 6.056 3.465
angles (deg): 90.00 90.00 90.00
Sites, in units of the cell vectors:
Sr1 0.500 0.500 0.000
Mg1 0.000 0.500 0.500
Ta1 0.500 0.000 0.500
Sr2 0.000 0.000 0.000

Compound: Tl2AsW
Source: Alexandria
Functional: PBE-GGA
Structure: optimized geometry

## Properties
Polymorph energy (0 for the lowest one), kJ per mole of atoms: 64.0
DOS(E_F), states/eV per cell: 3.93
Calculated total energy, eV/atom: -4.5839
ΔH_f (0 K), meV per atom: 1000
Space-group type: P4/mmm, No. 123

a b c (Å): 3.065 5.286 5.286
angles (deg): 90.00 90.00 90.00
Sites, in units of the cell vectors:
As1 0.500 0.000 0.500
Tl1 0.000 0.500 0.500
Tl2 0.000 0.000 0.000
W1 0.500 0.500 0.000

Compound: La3NiAg
Source: Alexandria
Functional: PBE-GGA
Structure: optimized geometry

## Properties
Polymorph energy (0 for the lowest one), kJ per mole of atoms: 2.9
DOS(E_F), states/eV per cell: 10.41
Calculated total energy, eV/atom: -4.8909
ΔH_f (0 K), meV per atom: -208
Space-group type: P-1, No. 2

a b c (Å): 5.314 6.607 9.752
angles (deg): 113.82 89.54 114.18
Sites, in units of the cell vectors:
Ni1 0.906 0.799 0.028
La1 0.143 0.295 0.665
La2 0.857 0.705 0.335
Ni2 0.094 0.201 0.972
Ag1 0.418 0.834 0.567
La3 0.616 0.242 0.931
La4 0.867 0.739 0.716
La5 0.133 0.261 0.284
Ag2 0.582 0.166 0.433
La6 0.384 0.758 0.069

Compound: ErPuSnHg
Source: Alexandria
Functional: PBE-GGA
Structure: optimized geometry

## Properties
DOS(E_F), states/eV per cell: 10.17
Calculated total energy, eV/atom: -6.1829
ΔH_f (0 K), meV per atom: -383
Space-group type: F-43m, No. 216

a b c (Å): 5.302 5.302 5.302
angles (deg): 60.00 60.00 60.00
Sites, in units of the cell vectors:
Pu1 0.750 0.750 0.750
Hg1 0.000 0.000 0.000
Sn1 0.500 0.500 0.500
Er1 0.250 0.250 0.250

Compound: Li2Tl3I2Cl4
Source: Alexandria
Functional: PBE-GGA
Structure: optimized geometry

## Properties
DOS(E_F), states/eV per cell: 8.86
Calculated total energy, eV/atom: -2.9863
Space-group type: I4/mmm, No. 139

a b c (Å): 4.931 4.931 13.704
angles (deg): 100.36 100.36 90.00
Sites, in units of the cell vectors:
I1 0.696 0.696 0.392
Li1 0.588 0.588 0.175
I2 0.304 0.304 0.608
Cl1 0.074 0.574 0.147
Tl1 0.836 0.836 0.673
Tl2 0.000 0.000 0.000
Cl2 0.926 0.426 0.853
Cl3 0.426 0.926 0.853
Tl3 0.164 0.164 0.327
Cl4 0.574 0.074 0.147
Li2 0.412 0.412 0.825

Compound: CdAu
Source: Alexandria
Functional: PBE-GGA
Structure: optimized geometry

## Properties
DOS(E_F), states/eV per cell: 1.26
Calculated total energy, eV/atom: -2.2458
ΔH_f (0 K), meV per atom: -150
Space-group type: Cm, No. 8

a b c (Å): 5.494 5.494 10.465
angles (deg): 135.07 135.07 33.73
Sites, in units of the cell vectors:
Au1 0.003 0.003 0.989
Cd1 0.351 0.351 0.655
Au2 0.626 0.626 0.311
Cd2 0.422 0.422 0.403
Cd3 0.781 0.781 0.063
Au3 0.149 0.149 0.745

Compound: Cd12AgHg16
Source: Alexandria
Functional: PBE-GGA
Structure: optimized geometry

## Properties
DOS(E_F), states/eV per cell: 9.43
Calculated total energy, eV/atom: -0.6049
ΔH_f (0 K), meV per atom: 39
Space-group type: Cm, No. 8

a b c (Å): 9.321 9.321 10.138
angles (deg): 110.98 110.98 98.82
Sites, in units of the cell vectors:
Ag1 0.630 0.630 0.331
Hg1 0.046 0.046 0.696
Hg2 0.650 0.292 0.601
Hg3 0.406 0.635 0.999
Cd1 0.150 0.939 0.335
Hg4 0.043 0.405 0.676
Hg5 0.331 0.710 0.304
Hg6 0.292 0.650 0.601
Cd2 0.626 0.834 0.640
Hg7 0.710 0.331 0.304
Cd3 0.939 0.150 0.335
Cd4 0.016 0.403 0.222
Cd5 0.805 0.187 0.861
Hg8 0.635 0.406 0.999
Hg9 0.987 0.711 0.438
Hg10 0.622 0.974 0.992
Hg11 0.363 0.363 0.306
Cd6 0.403 0.016 0.222
Cd7 0.834 0.626 0.640
Cd8 0.163 0.375 0.986
Hg12 0.405 0.043 0.676
Cd9 0.187 0.805 0.861
Hg13 0.007 0.007 0.024
Cd10 0.780 0.780 0.168
Cd11 0.375 0.163 0.986
Hg14 0.974 0.622 0.992
Hg15 0.711 0.987 0.438
Hg16 0.303 0.303 0.569
Cd12 0.606 0.606 0.798